1.
# PBE Nd3Rh2Pb, relaxed
data_Nd3Rh2Pb
_chemical_formula_sum 'Nd3 Rh2 Pb1'
_symmetry_space_group_name_H-M 'P 1'
_symmetry_Int_Tables_number 1
_symmetry_space_group_name_Hall 'P 1'
_cell_length_a 3.540
_cell_length_b 3.540
_cell_length_c 12.015
_cell_angle_alpha 90.00
_cell_angle_beta 90.00
_cell_angle_gamma 90.00
loop_
_atom_site_label
_atom_site_type_symbol
_atom_site_fract_x
_atom_site_fract_y
_atom_site_fract_z
Nd1 Nd 0.000 0.000 0.000
Nd2 Nd 0.000 0.000 0.706
Nd3 Nd 0.000 0.000 0.294
Rh1 Rh 0.500 0.500 0.850
Rh2 Rh 0.500 0.500 0.150
Pb1 Pb 0.500 0.500 0.500
# Formation energy ... -601 meV/atom
# ρ ... 9.33 g/cm3
# Volume ... 150.5 Å³ per cell

---

2.
# PBE NdRh3Pb3, relaxed
data_NdRh3Pb3
_chemical_formula_sum 'Nd2 Rh6 Pb6'
_symmetry_space_group_name_H-M 'P 1'
_symmetry_Int_Tables_number 1
_symmetry_space_group_name_Hall 'P 1'
_cell_length_a 8.468
_cell_length_b 8.468
_cell_length_c 7.300
_cell_angle_alpha 54.55
_cell_angle_beta 54.55
_cell_angle_gamma 60.00
loop_
_atom_site_label
_atom_site_type_symbol
_atom_site_fract_x
_atom_site_fract_y
_atom_site_fract_z
Nd1 Nd 0.332 0.332 0.004
Nd2 Nd 0.668 0.668 0.996
Rh1 Rh 0.294 0.579 0.182
Rh2 Rh 0.945 0.294 0.182
Rh3 Rh 0.579 0.945 0.182
Rh4 Rh 0.421 0.055 0.818
Rh5 Rh 0.055 0.706 0.818
Rh6 Rh 0.706 0.421 0.818
Pb1 Pb 0.385 0.815 0.685
Pb2 Pb 0.815 0.116 0.685
Pb3 Pb 0.116 0.385 0.685
Pb4 Pb 0.884 0.615 0.315
Pb5 Pb 0.185 0.884 0.315
Pb6 Pb 0.615 0.185 0.315
# Formation energy ... -191 meV/atom
# ρ ... 10.60 g/cm3
# Energy relative to the lowest polymorph listed for this composition ... 0 meV/atom
# Volume ... 336.7 Å³ per cell

---

Calculated raw total energy, -36.32 -78.56 eV/cell (same order as the records).